[1]
Material: Er3Si3Pt2
Method: DFT, PBE
State: optimized geometry

Computed properties:
As for the space-group type: Cmcm (63). The uncorrected formation energy comes out at -1122 meV/atom. The distance to the lowest polymorph of the same formula comes out at 0.0 meV/atom.

Cell: 5.557 5.557 14.063 Å, 90.00 90.00 134.98°
Element x y z (fractional)
1 Er 0.090 0.910 0.611
2 Er 0.090 0.910 0.889
3 Er 0.369 0.631 0.750
4 Er 0.631 0.369 0.250
5 Er 0.910 0.090 0.111
6 Er 0.910 0.090 0.389
7 Si 0.336 0.664 0.250
8 Si 0.388 0.612 0.535
9 Si 0.388 0.612 0.965
10 Si 0.612 0.388 0.035
11 Si 0.612 0.388 0.465
12 Si 0.664 0.336 0.750
13 Pt 0.196 0.804 0.101
14 Pt 0.196 0.804 0.399
15 Pt 0.804 0.196 0.601
16 Pt 0.804 0.196 0.899

[2]
Material: LiTa2In
Method: DFT, PBE
State: optimized geometry

Computed properties:
As for the space-group type: Cmm2 (35). As for the formation energy from the elements: 0.125 eV per atom.

Cell: 2.884 2.884 9.404 Å, 90.00 90.00 103.32°
Element x y z (fractional)
1 Li 0.000 0.000 0.000
2 Ta 0.000 0.000 0.497
3 Ta 0.500 0.500 0.263
4 In 0.500 0.500 0.761

[3]
Material: CaAl3Au3
Method: DFT, PBE
State: optimized geometry

Computed properties:
As for the space-group type: Pm-3n (223). As for the formation energy from the elements: -0.277 eV per atom. The distance to the lowest polymorph of the same formula comes out at 251.6 meV/atom.

Cell: 7.019 7.019 7.019 Å, 90.00 90.00 90.00°
Element x y z (fractional)
1 Ca 0.000 0.000 0.000
2 Ca 0.500 0.500 0.500
3 Al 0.000 0.250 0.500
4 Al 0.000 0.750 0.500
5 Al 0.250 0.500 0.000
6 Al 0.500 0.000 0.250
7 Al 0.500 0.000 0.750
8 Al 0.750 0.500 0.000
9 Au 0.000 0.500 0.250
10 Au 0.000 0.500 0.750
11 Au 0.250 0.000 0.500
12 Au 0.500 0.250 0.000
13 Au 0.500 0.750 0.000
14 Au 0.750 0.000 0.500

[4]
Material: Na2Sb3Pd4
Method: DFT, PBE
State: optimized geometry

Computed properties:
As for the space-group type: Cmce (64). The uncorrected formation energy comes out at -452 meV/atom.

Cell: 8.685 8.685 7.332 Å, 90.00 90.00 137.03°
Element x y z (fractional)
1 Na 0.090 0.910 0.903
2 Na 0.410 0.590 0.403
3 Na 0.590 0.410 0.597
4 Na 0.910 0.090 0.097
5 Sb 0.000 0.000 0.500
6 Sb 0.007 0.493 0.750
7 Sb 0.493 0.007 0.250
8 Sb 0.500 0.500 0.000
9 Sb 0.507 0.993 0.750
10 Sb 0.993 0.507 0.250
11 Pd 0.170 0.830 0.513
12 Pd 0.174 0.326 0.750
13 Pd 0.326 0.174 0.250
14 Pd 0.330 0.670 0.013
15 Pd 0.670 0.330 0.987
16 Pd 0.674 0.826 0.750
17 Pd 0.826 0.674 0.250
18 Pd 0.830 0.170 0.487

[5]
Material: Ba3ZnSe4
Method: DFT, PBE
State: optimized geometry

Computed properties:
As for the space-group type: Pnma (62). The uncorrected formation energy comes out at -1614 meV/atom.

Cell: 9.051 11.343 9.965 Å, 90.00 90.00 90.00°
Element x y z (fractional)
1 Ba 0.032 0.045 0.202
2 Ba 0.032 0.455 0.202
3 Ba 0.102 0.750 0.432
4 Ba 0.398 0.250 0.932
5 Ba 0.468 0.545 0.702
6 Ba 0.468 0.955 0.702
7 Ba 0.532 0.045 0.298
8 Ba 0.532 0.455 0.298
9 Ba 0.602 0.750 0.068
10 Ba 0.898 0.250 0.568
11 Ba 0.968 0.545 0.798
12 Ba 0.968 0.955 0.798
13 Zn 0.200 0.750 0.990
14 Zn 0.300 0.250 0.490
15 Zn 0.700 0.750 0.510
16 Zn 0.800 0.250 0.010
17 Se 0.038 0.250 0.886
18 Se 0.184 0.055 0.521
19 Se 0.184 0.445 0.521
20 Se 0.201 0.750 0.734
21 Se 0.299 0.250 0.234
22 Se 0.316 0.555 0.021
23 Se 0.316 0.945 0.021
24 Se 0.462 0.750 0.386
25 Se 0.538 0.250 0.614
26 Se 0.684 0.055 0.979
27 Se 0.684 0.445 0.979
28 Se 0.701 0.750 0.766
29 Se 0.799 0.250 0.266
30 Se 0.816 0.555 0.479
31 Se 0.816 0.945 0.479
32 Se 0.962 0.750 0.114

[6]
Material: Tb2PuHf
Method: DFT, PBE
State: optimized geometry

Computed properties:
As for the space-group type: R-3m (166). As for the formation energy from the elements: 0.186 eV per atom. The distance to the lowest polymorph of the same formula comes out at 0.0 meV/atom.

Cell: 11.370 11.370 11.370 Å, 17.11 17.11 17.11°
Element x y z (fractional)
1 Tb 0.246 0.246 0.246
2 Tb 0.754 0.754 0.754
3 Pu 0.000 0.000 0.000
4 Hf 0.500 0.500 0.500

What are the total magnetization values for these records? In order: 0.0000; 0.0000; 0.0000; 0.0000; 0.0000; 1.4997 μB/atom.